No. 1
Here is MgTlSbOs after structural relaxation from OQMD. Energies are from PBE.

Output
- Polymorph energy (0 for the lowest one): 0.000 eV per atom
- M_tot: 0.0 μB/cell
- VASP energy: -4.35 eV/atom

abc: 6.7976 6.7976 6.7976
angles: 90.00 90.00 90.00
Space group F-43m (No. 216)
Unique sites:
1 Mg 0.0000 0.0000 0.0000 [4 per cell]
2 Tl 0.2500 0.2500 0.2500 [4 per cell]
3 Sb 0.2500 0.2500 0.7500 [4 per cell]
4 Os 0.0000 0.0000 0.5000 [4 per cell]

=====

No. 2
Here is TaN2 after structural relaxation from OQMD. Energies are from PBE.

Output
- M_tot: 1.6 μB/cell
- VASP energy: -9.63 eV/atom

abc: 5.0965 5.0965 5.0965
angles: 90.00 90.00 90.00
Space group Pa-3 (No. 205)
Unique sites:
1 Ta 0.0000 0.0000 0.0000 [4 per cell]
2 N 0.1387 0.6387 0.8613 [8 per cell]